The following is a DFT calculation (PBE-GGA) of Sr3BiO4 after structural relaxation.

**Total moment**: 0.118 μB/atom
**Uncorrected formation energy**: -207.2 kJ/mol of atoms
**Space group**: Pm-3m
**V**: 143.3 Å³/cell

Lattice parameters (Å, degrees): 5.2324 5.2324 5.2324 90.00 90.00 90.00
Sites, in units of the cell vectors:
1 Sr 0.0000 0.0000 0.5000
2 Sr 0.0000 0.5000 0.0000
3 Sr 0.5000 0.0000 0.0000
4 Bi 0.5000 0.5000 0.5000
5 O 0.0000 0.0000 0.0000
6 O 0.0000 0.5000 0.5000
7 O 0.5000 0.0000 0.5000
8 O 0.5000 0.5000 0.0000